Entry 1
First-principles (PBE-GGA) data for an optimized crystal structure of Be2C2Cl, as listed in the Alexandria database.

Properties
* total moment: 0.00 μB/f.u.
* Fermi-level density of states: 0.926 states/eV/f.u.
* mass density: 2359 kg/m3

a b c (Å): 6.008 6.008 3.023
angles (deg): 90.00 90.00 90.00
Space group P4/mbm (No. 127)
Symmetry-distinct sites (fractional):
Be: 0.126 0.374 0.000 [4 per cell]
C: 0.080 0.580 0.500 [4 per cell]
Cl: 0.000 0.000 0.000 [2 per cell]

Entry 2
First-principles (PBE-GGA) data for an optimized crystal structure of Be2C2Cl, as listed in the Alexandria database.

Properties
* total moment: 0.00 μB/f.u.
* Fermi-level density of states: 1.649 states/eV/f.u.
* mass density: 2698 kg/m3

a b c (Å): 2.840 2.840 11.832
angles (deg): 90.00 90.00 90.00
Space group I4/mmm (No. 139)
Symmetry-distinct sites (fractional):
Be: 0.000 0.000 0.151 [4 per cell]
C: 0.000 0.500 0.250 [4 per cell]
Cl: 0.000 0.000 0.500 [2 per cell]

The structure shown above that is least stable: entry 2.